Entry 1:
First-principles (GGA-PBE) data for a relaxed structure of RbSrCr2Cl8, as listed in the Alexandria database.

a = 6.842 Å, b = 6.842 Å, c = 9.705 Å
α = 90.00°, β = 90.00°, γ = 120.00°
Sites, in units of the cell vectors:
Rb1 0.000 0.000 0.000
Sr1 0.000 0.000 0.500
Cr1 0.667 0.333 0.254
Cr2 0.333 0.667 0.746
Cl1 0.333 0.667 0.973
Cl2 0.333 0.324 0.310
Cl3 0.676 0.008 0.310
Cl4 0.667 0.333 0.027
Cl5 0.324 0.992 0.690
Cl6 0.667 0.676 0.690
Cl7 0.008 0.333 0.690
Cl8 0.992 0.667 0.310

* DOS(E_F): 14.2 states/eV per cell
* formation energy (no corrections): -1.4104 eV per atom
* mass density: 2.367 Mg/m³
* VASP energy: -53.594 eV per cell

---

Entry 2:
First-principles (GGA-PBE) data for a relaxed structure of RbSrCrCl6, as listed in the Alexandria database.

a = 7.046 Å, b = 7.046 Å, c = 13.836 Å
α = 90.00°, β = 90.00°, γ = 120.00°
Sites, in units of the cell vectors:
Rb1 0.000 0.000 0.000
Rb2 0.000 0.000 0.500
Sr1 0.333 0.667 0.250
Sr2 0.667 0.333 0.750
Cr1 0.667 0.333 0.250
Cr2 0.333 0.667 0.750
Cl1 0.658 0.602 0.149
Cl2 0.944 0.342 0.149
Cl3 0.342 0.944 0.649
Cl4 0.056 0.658 0.851
Cl5 0.398 0.342 0.351
Cl6 0.944 0.602 0.351
Cl7 0.602 0.944 0.851
Cl8 0.658 0.056 0.351
Cl9 0.056 0.398 0.649
Cl10 0.398 0.056 0.149
Cl11 0.602 0.658 0.649
Cl12 0.342 0.398 0.851

* DOS(E_F): 0.0 states/eV per cell
* formation energy (no corrections): -1.7604 eV per atom
* mass density: 2.444 Mg/m³
* VASP energy: -78.392 eV per cell

---

Entry 3:
First-principles (GGA-PBE) data for a relaxed structure of Rb2SrCrCl6, as listed in the Alexandria database.

a = 7.563 Å, b = 7.563 Å, c = 7.562 Å
α = 59.99°, β = 59.99°, γ = 90.00°
Sites, in units of the cell vectors:
Sr1 0.000 0.000 0.000
Cl1 0.266 0.266 0.468
Cl2 0.734 0.734 0.532
Cl3 0.266 0.266 0.000
Cl4 0.734 0.734 0.000
Cl5 0.734 0.266 0.000
Cl6 0.266 0.734 0.000
Rb1 0.750 0.250 0.500
Rb2 0.250 0.750 0.500
Cr1 0.500 0.500 0.000

* DOS(E_F): 9.4 states/eV per cell
* formation energy (no corrections): -1.7794 eV per atom
* mass density: 2.842 Mg/m³
* VASP energy: -42.114 eV per cell

---

Entry 4:
First-principles (GGA-PBE) data for a relaxed structure of RbSr2CrCl8, as listed in the Alexandria database.

a = 6.474 Å, b = 6.383 Å, c = 8.974 Å
α = 89.92°, β = 89.97°, γ = 89.45°
Sites, in units of the cell vectors:
Rb1 0.000 0.000 0.500
Sr1 0.500 0.500 0.758
Sr2 0.500 0.500 0.242
Cr1 0.000 0.000 0.000
Cl1 0.150 0.786 0.187
Cl2 0.700 0.771 0.000
Cl3 0.849 0.213 0.187
Cl4 0.850 0.214 0.813
Cl5 0.300 0.229 0.000
Cl6 0.151 0.787 0.813
Cl7 0.606 0.737 0.500
Cl8 0.394 0.263 0.500

* formation energy (no corrections): -1.8664 eV per atom
* mass density: 2.670 Mg/m³
* VASP energy: -51.125 eV per cell

---

Entry 5:
First-principles (GGA-PBE) data for a relaxed structure of Rb2TiCrCl6, as listed in the Alexandria database.

a = 7.183 Å, b = 7.183 Å, c = 7.187 Å
α = 60.02°, β = 60.02°, γ = 90.00°
Sites, in units of the cell vectors:
Cr1 0.000 0.000 0.000
Cl1 0.255 0.255 0.490
Cl2 0.745 0.745 0.510
Cl3 0.254 0.254 0.000
Cl4 0.746 0.746 0.000
Cl5 0.746 0.254 0.000
Cl6 0.254 0.746 0.000
Rb1 0.750 0.250 0.500
Rb2 0.250 0.750 0.500
Ti1 0.500 0.500 0.000

* DOS(E_F): 11.7 states/eV per cell
* formation energy (no corrections): -1.4845 eV per atom
* mass density: 3.060 Mg/m³
* VASP energy: -45.378 eV per cell

---

Entry 6:
First-principles (GGA-PBE) data for a relaxed structure of Rb2Tl2CrCl6, as listed in the Alexandria database.

a = 7.678 Å, b = 7.678 Å, c = 7.724 Å
α = 99.07°, β = 99.07°, γ = 116.33°
Sites, in units of the cell vectors:
Rb1 0.343 0.657 0.500
Rb2 0.657 0.343 0.500
Tl1 0.839 0.161 0.000
Tl2 0.161 0.839 0.000
Cr1 0.000 0.000 0.500
Cl1 0.783 0.783 0.768
Cl2 0.051 0.311 0.685
Cl3 0.217 0.217 0.232
Cl4 0.311 0.051 0.685
Cl5 0.949 0.689 0.315
Cl6 0.689 0.949 0.315

* formation energy (no corrections): -1.3126 eV per atom
* mass density: 3.601 Mg/m³
* VASP energy: -41.810 eV per cell

---

Entry 7:
First-principles (GGA-PBE) data for a relaxed structure of RbTl2CrCl6, as listed in the Alexandria database.

a = 7.130 Å, b = 8.149 Å, c = 10.673 Å
α = 90.00°, β = 88.30°, γ = 90.00°
Sites, in units of the cell vectors:
Rb1 0.500 0.000 0.000
Rb2 0.000 0.500 0.500
Tl1 0.021 0.946 0.269
Tl2 0.521 0.554 0.769
Tl3 0.979 0.054 0.731
Tl4 0.479 0.446 0.231
Cr1 0.500 0.000 0.500
Cr2 0.000 0.500 0.000
Cl1 0.279 0.654 0.022
Cl2 0.779 0.846 0.522
Cl3 0.721 0.346 0.978
Cl4 0.221 0.154 0.478
Cl5 0.347 0.762 0.423
Cl6 0.847 0.738 0.923
Cl7 0.653 0.238 0.577
Cl8 0.153 0.262 0.077
Cl9 0.902 0.571 0.207
Cl10 0.402 0.929 0.707
Cl11 0.098 0.429 0.793
Cl12 0.598 0.071 0.293

* formation energy (no corrections): -1.2561 eV per atom
* mass density: 4.066 Mg/m³
* VASP energy: -77.928 eV per cell

---

Entry 8:
First-principles (GGA-PBE) data for a relaxed structure of Rb3Tl3CrCl8, as listed in the Alexandria database.

a = 9.134 Å, b = 9.134 Å, c = 9.151 Å
α = 119.94°, β = 90.00°, γ = 120.00°
Sites, in units of the cell vectors:
Rb1 0.000 0.000 0.000
Rb2 0.000 0.500 0.000
Rb3 0.500 0.500 0.000
Tl1 0.500 0.000 0.500
Tl2 0.500 0.500 0.500
Tl3 0.000 0.500 0.500
Cr1 0.000 0.000 0.500
Cl1 0.252 0.503 0.254
Cl2 0.748 0.497 0.746
Cl3 0.801 0.603 0.304
Cl4 0.199 0.397 0.696
Cl5 0.802 0.003 0.305
Cl6 0.198 0.997 0.695
Cl7 0.201 0.003 0.305
Cl8 0.799 0.997 0.695

* DOS(E_F): 6.5 states/eV per cell
* formation energy (no corrections): -1.3560 eV per atom
* mass density: 3.703 Mg/m³
* VASP energy: -54.738 eV per cell